<A>
Ce2Tl2Hg | GGA-PBE | relaxed

Cell and atoms, written as CIF:
```
data_Ce2Tl2Hg
_chemical_formula_sum 'Ce4 Tl4 Hg2'
_symmetry_space_group_name_H-M 'C 1 2/m 1'
_symmetry_Int_Tables_number 12
_cell_length_a 10.248
_cell_length_b 4.957
_cell_length_c 6.674
_cell_angle_alpha 90.00
_cell_angle_beta 125.87
_cell_angle_gamma 90.00
loop_
_symmetry_equiv_pos_as_xyz
'x,y,z'
'-x,-y,-z'
'-x,y,-z'
'x,-y,z'
'x+1/2,y+1/2,z'
'-x+1/2,-y+1/2,-z'
'-x+1/2,y+1/2,-z'
'x+1/2,-y+1/2,z'
loop_
_atom_site_label
_atom_site_fract_x
_atom_site_fract_y
_atom_site_fract_z
_atom_site_occupancy
Ce1 0.089 0.000 0.256 1
Tl1 0.207 0.500 0.097 1
Hg1 0.000 0.500 0.500 1
```

---

<B>
Ce2Tl2Hg | GGA-PBE | relaxed

Cell and atoms, written as CIF:
```
data_Ce2Tl2Hg
_chemical_formula_sum 'Ce2 Tl2 Hg1'
_symmetry_space_group_name_H-M 'P -3 m 1'
_symmetry_Int_Tables_number 164
_symmetry_space_group_name_Hall '-P 3 2"'
_cell_length_a 3.3812
_cell_length_b 3.3812
_cell_length_c 13.6359
_cell_angle_alpha 90.00
_cell_angle_beta 90.00
_cell_angle_gamma 120.00
loop_
_atom_site_label
_atom_site_fract_x
_atom_site_fract_y
_atom_site_fract_z
_atom_site_occupancy
Ce1 0.0000 0.0000 0.1014 1
Tl1 0.3333 0.6667 0.6921 1
Hg1 0.0000 0.0000 0.5000 1
```

---

<A> wins, 240 meV/atom ahead of the next structure.

---

<A>
CeTmHg4 | GGA-PBE | relaxed

Cell and atoms, written as CIF:
```
data_CeTmHg4
_chemical_formula_sum 'Ce4 Tm4 Hg16'
_symmetry_space_group_name_H-M 'F -4 3 m'
_symmetry_Int_Tables_number 216
_symmetry_space_group_name_Hall 'F -4 2 3'
_cell_length_a 8.461
_cell_length_b 8.461
_cell_length_c 8.461
_cell_angle_alpha 90.00
_cell_angle_beta 90.00
_cell_angle_gamma 90.00
loop_
_atom_site_label
_atom_site_fract_x
_atom_site_fract_y
_atom_site_fract_z
_atom_site_occupancy
Ce1 0.000 0.000 0.000 1
Tm1 0.250 0.250 0.750 1
Hg1 0.125 0.125 0.375 1
```

---

<B>
CeTmHg4 | GGA-PBE | relaxed

Cell and atoms, written as CIF:
```
data_CeTmHg4
_chemical_formula_sum 'Ce1 Tm1 Hg4'
_symmetry_space_group_name_H-M 'P 1 m 1'
_symmetry_Int_Tables_number 6
_cell_length_a 3.934
_cell_length_b 5.228
_cell_length_c 7.723
_cell_angle_alpha 90.00
_cell_angle_beta 104.84
_cell_angle_gamma 90.00
loop_
_symmetry_equiv_pos_as_xyz
'x,y,z'
'x,-y,z'
loop_
_atom_site_label
_atom_site_fract_x
_atom_site_fract_y
_atom_site_fract_z
_atom_site_occupancy
Ce1 0.000 0.000 0.000 1
Tm1 0.213 0.500 0.420 1
Hg1 0.331 0.000 0.661 1
Hg2 0.550 0.500 0.093 1
Hg3 0.671 0.000 0.345 1
Hg4 0.876 0.500 0.744 1
```

---

<B> wins, 164 meV/atom ahead of the next structure.

---

<A>
CeTm2Hg | GGA-PBE | relaxed

Cell and atoms, written as CIF:
```
data_CeTm2Hg
_chemical_formula_sum 'Ce1 Tm2 Hg1'
_symmetry_space_group_name_H-M 'P 4/m m m'
_symmetry_Int_Tables_number 123
_symmetry_space_group_name_Hall '-P 4 2'
_cell_length_a 4.829
_cell_length_b 4.829
_cell_length_c 4.656
_cell_angle_alpha 90.00
_cell_angle_beta 90.00
_cell_angle_gamma 90.00
loop_
_atom_site_label
_atom_site_fract_x
_atom_site_fract_y
_atom_site_fract_z
_atom_site_occupancy
Ce1 0.000 0.000 0.000 1
Tm1 0.000 0.500 0.500 1
Hg1 0.500 0.500 0.000 1
```

---

<B>
CeTm2Hg | GGA-PBE | relaxed

Cell and atoms, written as CIF:
```
data_CeTm2Hg
_chemical_formula_sum 'Ce3 Tm6 Hg3'
_symmetry_space_group_name_H-M 'R -3 m'
_symmetry_Int_Tables_number 166
_symmetry_space_group_name_Hall '-R 3 2"'
_cell_length_a 3.5216
_cell_length_b 3.5216
_cell_length_c 31.3653
_cell_angle_alpha 90.00
_cell_angle_beta 90.00
_cell_angle_gamma 120.00
loop_
_atom_site_label
_atom_site_fract_x
_atom_site_fract_y
_atom_site_fract_z
_atom_site_occupancy
Ce1 0.0000 0.0000 0.0000 1
Tm1 0.0000 0.0000 0.2434 1
Hg1 0.0000 0.0000 0.5000 1
```

---

<B> wins, 28 meV/atom ahead of the next structure.

---

<A>
CeTm2Hg | GGA-PBE | relaxed

Cell and atoms, written as CIF:
```
data_CeTm2Hg
_chemical_formula_sum 'Ce3 Tm6 Hg3'
_symmetry_space_group_name_H-M 'R 3 m'
_symmetry_Int_Tables_number 160
_symmetry_space_group_name_Hall 'R 3 -2"'
_cell_length_a 3.5503
_cell_length_b 3.5503
_cell_length_c 31.5636
_cell_angle_alpha 90.00
_cell_angle_beta 90.00
_cell_angle_gamma 120.00
loop_
_atom_site_label
_atom_site_fract_x
_atom_site_fract_y
_atom_site_fract_z
_atom_site_occupancy
Ce1 0.0000 0.0000 0.0000 1
Tm1 0.0000 0.0000 0.2422 1
Tm2 0.0000 0.0000 0.4247 1
Hg1 0.0000 0.0000 0.8337 1
```

---

<B>
CeTm2Hg | GGA-PBE | relaxed

Cell and atoms, written as CIF:
```
data_CeTm2Hg
_chemical_formula_sum 'Ce4 Tm8 Hg4'
_symmetry_space_group_name_H-M 'F m -3 m'
_symmetry_Int_Tables_number 225
_symmetry_space_group_name_Hall '-F 4 2 3'
_cell_length_a 7.447
_cell_length_b 7.447
_cell_length_c 7.447
_cell_angle_alpha 90.00
_cell_angle_beta 90.00
_cell_angle_gamma 90.00
loop_
_atom_site_label
_atom_site_fract_x
_atom_site_fract_y
_atom_site_fract_z
_atom_site_occupancy
Ce1 0.000 0.000 0.000 1
Tm1 0.250 0.250 0.250 1
Hg1 0.000 0.000 0.500 1
```

---

<C>
CeTm2Hg | GGA-PBE | relaxed

Cell and atoms, written as CIF:
```
data_CeTm2Hg
_chemical_formula_sum 'Ce1 Tm2 Hg1'
_symmetry_space_group_name_H-M 'P 4/m m m'
_symmetry_Int_Tables_number 123
_symmetry_space_group_name_Hall '-P 4 2'
_cell_length_a 3.551
_cell_length_b 3.551
_cell_length_c 8.623
_cell_angle_alpha 90.00
_cell_angle_beta 90.00
_cell_angle_gamma 90.00
loop_
_atom_site_label
_atom_site_fract_x
_atom_site_fract_y
_atom_site_fract_z
_atom_site_occupancy
Ce1 0.000 0.000 0.000 1
Tm1 0.500 0.500 0.273 1
Hg1 0.000 0.000 0.500 1
```

---

<C> wins, 89 meV/atom ahead of the next structure.

---

<A>
Ce2TmHg | GGA-PBE | relaxed

Cell and atoms, written as CIF:
```
data_Ce2TmHg
_chemical_formula_sum 'Ce2 Tm1 Hg1'
_symmetry_space_group_name_H-M 'P 4/m m m'
_symmetry_Int_Tables_number 123
_symmetry_space_group_name_Hall '-P 4 2'
_cell_length_a 4.452
_cell_length_b 4.452
_cell_length_c 5.299
_cell_angle_alpha 90.00
_cell_angle_beta 90.00
_cell_angle_gamma 90.00
loop_
_atom_site_label
_atom_site_fract_x
_atom_site_fract_y
_atom_site_fract_z
_atom_site_occupancy
Ce1 0.000 0.500 0.000 1
Tm1 0.000 0.000 0.500 1
Hg1 0.500 0.500 0.500 1
```

---

<B>
Ce2TmHg | GGA-PBE | relaxed

Cell and atoms, written as CIF:
```
data_Ce2TmHg
_chemical_formula_sum 'Ce8 Tm4 Hg4'
_symmetry_space_group_name_H-M 'F m -3 m'
_symmetry_Int_Tables_number 225
_symmetry_space_group_name_Hall '-F 4 2 3'
_cell_length_a 7.689
_cell_length_b 7.689
_cell_length_c 7.689
_cell_angle_alpha 90.00
_cell_angle_beta 90.00
_cell_angle_gamma 90.00
loop_
_atom_site_label
_atom_site_fract_x
_atom_site_fract_y
_atom_site_fract_z
_atom_site_occupancy
Ce1 0.250 0.250 0.250 1
Tm1 0.000 0.000 0.000 1
Hg1 0.000 0.000 0.500 1
```

---

<C>
Ce2TmHg | GGA-PBE | relaxed

Cell and atoms, written as CIF:
```
data_Ce2TmHg
_chemical_formula_sum 'Ce2 Tm1 Hg1'
_symmetry_space_group_name_H-M 'P 4/m m m'
_symmetry_Int_Tables_number 123
_symmetry_space_group_name_Hall '-P 4 2'
_cell_length_a 3.393
_cell_length_b 3.393
_cell_length_c 9.911
_cell_angle_alpha 90.00
_cell_angle_beta 90.00
_cell_angle_gamma 90.00
loop_
_atom_site_label
_atom_site_fract_x
_atom_site_fract_y
_atom_site_fract_z
_atom_site_occupancy
Ce1 0.000 0.000 0.233 1
Tm1 0.500 0.500 0.500 1
Hg1 0.500 0.500 0.000 1
```

---

<A> wins, 66 meV/atom ahead of the next structure.

---

<A>
CeTmHg3 | GGA-PBE | relaxed

Cell and atoms, written as CIF:
```
data_CeTmHg3
_chemical_formula_sum 'Ce4 Tm4 Hg12'
_symmetry_space_group_name_H-M 'C m c m'
_symmetry_Int_Tables_number 63
_symmetry_space_group_name_Hall '-C 2c 2'
_cell_length_a 3.501
_cell_length_b 29.345
_cell_length_c 4.977
_cell_angle_alpha 90.00
_cell_angle_beta 90.00
_cell_angle_gamma 90.00
loop_
_atom_site_label
_atom_site_fract_x
_atom_site_fract_y
_atom_site_fract_z
_atom_site_occupancy
Ce1 0.000 0.076 0.250 1
Tm1 0.000 0.212 0.750 1
Hg1 0.000 0.317 0.750 1
Hg2 0.000 0.376 0.250 1
Hg3 0.000 0.475 0.250 1
```

---

<B>
CeTmHg3 | GGA-PBE | relaxed

Cell and atoms, written as CIF:
```
data_CeTmHg3
_chemical_formula_sum 'Ce4 Tm4 Hg12'
_symmetry_space_group_name_H-M 'P 1 21/c 1'
_symmetry_Int_Tables_number 14
_cell_length_a 8.044
_cell_length_b 6.452
_cell_length_c 10.736
_cell_angle_alpha 90.00
_cell_angle_beta 114.21
_cell_angle_gamma 90.00
loop_
_symmetry_equiv_pos_as_xyz
'x,y,z'
'-x,-y,-z'
'-x,y+1/2,-z+1/2'
'x,-y+1/2,z+1/2'
loop_
_atom_site_label
_atom_site_fract_x
_atom_site_fract_y
_atom_site_fract_z
_atom_site_occupancy
Ce1 0.144 0.148 0.036 1
Tm1 0.378 0.655 0.851 1
Hg1 0.004 0.527 0.229 1
Hg2 0.245 0.624 0.076 1
Hg3 0.407 0.145 0.858 1
```

---

<A> wins, 57 meV/atom ahead of the next structure.